Record 1
! AcAsPdO | OQMD via LeMat-Bulk | PBE | optimized geometry; values from VASP
&SYSTEM
  ibrav = 0, nat = 8, ntyp = 4
/
ATOMIC_SPECIES
Ac 227.00 Ac.upf
As 74.92 As.upf
Pd 106.42 Pd.upf
O 16.00 O.upf
CELL_PARAMETERS angstrom
4.5591 -4.5628 0.0000
4.5591 4.5628 0.0000
0.0000 0.0000 4.6141
ATOMIC_POSITIONS crystal
Ac 0.2500 0.2500 0.0000
Ac 0.7500 0.7500 0.0000
As 0.2500 0.7500 0.5052
As 0.7500 0.2500 0.4948
Pd 0.2500 0.7500 0.0054
Pd 0.7500 0.2500 0.9946
O 0.2500 0.2500 0.5000
O 0.7500 0.7500 0.5000
! SG: Cmme, No. 67

Record 2
! AcAsPdO | OQMD via LeMat-Bulk | PBE | optimized geometry; values from VASP
&SYSTEM
  ibrav = 0, nat = 8, ntyp = 4
/
ATOMIC_SPECIES
Ac 227.00 Ac.upf
As 74.92 As.upf
Pd 106.42 Pd.upf
O 16.00 O.upf
CELL_PARAMETERS angstrom
3.5820 0.0000 0.0000
0.0000 8.0629 0.0000
0.0000 0.0000 5.6122
ATOMIC_POSITIONS crystal
Ac 0.0000 0.1459 0.0000
Ac 0.0000 0.8541 0.5000
As 0.0000 0.4570 0.4300
As 0.0000 0.5430 0.9300
Pd 0.5000 0.2614 0.5043
Pd 0.5000 0.7386 0.0043
O 0.5000 0.0249 0.7378
O 0.5000 0.9751 0.2378
! SG: Pmc2_1, No. 26

Record 3
! AcPmAsO | OQMD via LeMat-Bulk | PBE | optimized geometry; values from VASP
&SYSTEM
  ibrav = 0, nat = 8, ntyp = 4
/
ATOMIC_SPECIES
Ac 227.00 Ac.upf
Pm 145.00 Pm.upf
As 74.92 As.upf
O 16.00 O.upf
CELL_PARAMETERS angstrom
4.5578 0.0000 0.0000
0.0000 4.5578 0.0000
0.0000 0.0000 9.6570
ATOMIC_POSITIONS crystal
Ac 0.2500 0.2500 0.1145
Ac 0.7500 0.7500 0.8855
Pm 0.2500 0.7500 0.5000
Pm 0.7500 0.2500 0.5000
As 0.2500 0.2500 0.6936
As 0.7500 0.7500 0.3064
O 0.2500 0.7500 0.0000
O 0.7500 0.2500 0.0000
! SG: P4/nmm, No. 129

Record 4
! AcPmAsO | OQMD via LeMat-Bulk | PBE | optimized geometry; values from VASP
&SYSTEM
  ibrav = 0, nat = 8, ntyp = 4
/
ATOMIC_SPECIES
Ac 227.00 Ac.upf
Pm 145.00 Pm.upf
As 74.92 As.upf
O 16.00 O.upf
CELL_PARAMETERS angstrom
4.4991 0.0000 0.0000
0.0000 7.9606 0.0000
0.0000 0.0000 6.4246
ATOMIC_POSITIONS crystal
Ac 0.0000 0.2059 0.0000
Ac 0.0000 0.7941 0.5000
Pm 0.5000 0.3911 0.5719
Pm 0.5000 0.6089 0.0719
As 0.0000 0.1800 0.4950
As 0.0000 0.8200 0.9950
O 0.5000 0.3386 0.9294
O 0.5000 0.6614 0.4294
! SG: Pmc2_1, No. 26

Record 5
! AcPmAsO | OQMD via LeMat-Bulk | PBE | optimized geometry; values from VASP
&SYSTEM
  ibrav = 0, nat = 8, ntyp = 4
/
ATOMIC_SPECIES
Ac 227.00 Ac.upf
Pm 145.00 Pm.upf
As 74.92 As.upf
O 16.00 O.upf
CELL_PARAMETERS angstrom
4.3041 0.0000 0.0000
0.0000 8.5020 0.0000
0.0000 0.0000 5.9804
ATOMIC_POSITIONS crystal
Ac 0.0000 0.1164 0.0000
Ac 0.0000 0.8836 0.5000
Pm 0.5000 0.3049 0.4565
Pm 0.5000 0.6951 0.9565
As 0.5000 0.3570 0.9505
As 0.5000 0.6430 0.4505
O 0.0000 0.1827 0.4088
O 0.0000 0.8173 0.9088
! SG: Pmc2_1, No. 26

Record 6
! AcPmAsO | OQMD via LeMat-Bulk | PBE | optimized geometry; values from VASP
&SYSTEM
  ibrav = 0, nat = 8, ntyp = 4
/
ATOMIC_SPECIES
Ac 227.00 Ac.upf
Pm 145.00 Pm.upf
As 74.92 As.upf
O 16.00 O.upf
CELL_PARAMETERS angstrom
4.5850 0.0000 0.0000
0.0000 4.5850 0.0000
0.0000 0.0000 9.2764
ATOMIC_POSITIONS crystal
Ac 0.2500 0.7500 0.0000
Ac 0.7500 0.2500 0.0000
Pm 0.2500 0.2500 0.4121
Pm 0.7500 0.7500 0.5879
As 0.2500 0.2500 0.7750
As 0.7500 0.7500 0.2250
O 0.2500 0.7500 0.5000
O 0.7500 0.2500 0.5000
! SG: P4/nmm, No. 129

Record 7
! AcPrAsO | OQMD via LeMat-Bulk | PBE | optimized geometry; values from VASP
&SYSTEM
  ibrav = 0, nat = 8, ntyp = 4
/
ATOMIC_SPECIES
Ac 227.00 Ac.upf
Pr 140.91 Pr.upf
As 74.92 As.upf
O 16.00 O.upf
CELL_PARAMETERS angstrom
4.6153 0.0000 0.0000
0.0000 4.6153 0.0000
0.0000 0.0000 9.4018
ATOMIC_POSITIONS crystal
Ac 0.2500 0.7500 0.0000
Ac 0.7500 0.2500 0.0000
Pr 0.2500 0.2500 0.4079
Pr 0.7500 0.7500 0.5921
As 0.2500 0.2500 0.7786
As 0.7500 0.7500 0.2214
O 0.2500 0.7500 0.5000
O 0.7500 0.2500 0.5000
! SG: P4/nmm, No. 129

Record 8
! AcPrAsO | OQMD via LeMat-Bulk | PBE | optimized geometry; values from VASP
&SYSTEM
  ibrav = 0, nat = 8, ntyp = 4
/
ATOMIC_SPECIES
Ac 227.00 Ac.upf
Pr 140.91 Pr.upf
As 74.92 As.upf
O 16.00 O.upf
CELL_PARAMETERS angstrom
4.4885 0.0000 0.0000
0.0000 8.1299 0.0000
0.0000 0.0000 6.4235
ATOMIC_POSITIONS crystal
Ac 0.0000 0.2040 0.0000
Ac 0.0000 0.7960 0.5000
Pr 0.5000 0.3901 0.5683
Pr 0.5000 0.6099 0.0683
As 0.0000 0.1735 0.4953
As 0.0000 0.8265 0.9953
O 0.5000 0.3328 0.9323
O 0.5000 0.6672 0.4323
! SG: Pmc2_1, No. 26

The energy relative to the lowest polymorph listed for this composition results, record by record, are as follows: 0.7583; 0.4674; 0.0000; 0.0227; 0.1047; 0.3225; 0.2842; 0.0207 eV per atom.
The raw total energy results, record by record, are as follows: -23.4; -24.6; -26.3; -26.2; -25.9; -25.0; -25.1; -26.1 eV/f.u..